# ErMgHgBi (GGA-PBE, optimized geometry)
# M_tot = 0.0 μB/f.u.
# N(E_F) = 8.7 states/eV per cell
# Electronic total energy = -46.26 eV/cell
# Crystal system = cubic
data_ErMgHgBi
_chemical_formula_sum 'Er4 Mg4 Hg4 Bi4'
_cell_length_a 7.4670
_cell_length_b 7.4670
_cell_length_c 7.4670
_cell_angle_alpha 90.00
_cell_angle_beta 90.00
_cell_angle_gamma 90.00
_space_group_name_H-M_alt 'F -4 3 m'
_space_group_IT_number 216
_space_group_name_Hall 'F -4 2 3'
loop_
_atom_site_label
_atom_site_type_symbol
_atom_site_fract_x
_atom_site_fract_y
_atom_site_fract_z
Er1 Er 0.0000 0.0000 0.0000
Mg1 Mg 0.0000 0.0000 0.5000
Hg1 Hg 0.2500 0.2500 0.7500
Bi1 Bi 0.2500 0.2500 0.2500



# NaErHgBi (GGA-PBE, optimized geometry)
# M_tot = 0.0 μB/f.u.
# N(E_F) = 13.8 states/eV per cell
# Electronic total energy = -46.33 eV/cell
# Crystal system = cubic
data_NaErHgBi
_chemical_formula_sum 'Na4 Er4 Hg4 Bi4'
_cell_length_a 7.5624
_cell_length_b 7.5624
_cell_length_c 7.5624
_cell_angle_alpha 90.00
_cell_angle_beta 90.00
_cell_angle_gamma 90.00
_space_group_name_H-M_alt 'F -4 3 m'
_space_group_IT_number 216
_space_group_name_Hall 'F -4 2 3'
loop_
_atom_site_label
_atom_site_type_symbol
_atom_site_fract_x
_atom_site_fract_y
_atom_site_fract_z
Na1 Na 0.0000 0.0000 0.0000
Er1 Er 0.0000 0.0000 0.5000
Hg1 Hg 0.2500 0.2500 0.2500
Bi1 Bi 0.2500 0.2500 0.7500



# NdErHgBi (GGA-PBE, optimized geometry)
# M_tot = 0.0 μB/f.u.
# N(E_F) = 15.9 states/eV per cell
# Electronic total energy = -62.16 eV/cell
# Crystal system = cubic
data_NdErHgBi
_chemical_formula_sum 'Nd4 Er4 Hg4 Bi4'
_cell_length_a 7.6811
_cell_length_b 7.6811
_cell_length_c 7.6811
_cell_angle_alpha 90.00
_cell_angle_beta 90.00
_cell_angle_gamma 90.00
_space_group_name_H-M_alt 'F -4 3 m'
_space_group_IT_number 216
_space_group_name_Hall 'F -4 2 3'
loop_
_atom_site_label
_atom_site_type_symbol
_atom_site_fract_x
_atom_site_fract_y
_atom_site_fract_z
Nd1 Nd 0.0000 0.0000 0.0000
Er1 Er 0.0000 0.0000 0.5000
Hg1 Hg 0.2500 0.2500 0.2500
Bi1 Bi 0.2500 0.2500 0.7500



# ErHgBiPd (GGA-PBE, optimized geometry)
# M_tot = 0.0 μB/f.u.
# N(E_F) = 4.8 states/eV per cell
# Electronic total energy = -63.10 eV/cell
# Crystal system = cubic
data_ErHgBiPd
_chemical_formula_sum 'Er4 Hg4 Bi4 Pd4'
_cell_length_a 7.1957
_cell_length_b 7.1957
_cell_length_c 7.1957
_cell_angle_alpha 90.00
_cell_angle_beta 90.00
_cell_angle_gamma 90.00
_space_group_name_H-M_alt 'F -4 3 m'
_space_group_IT_number 216
_space_group_name_Hall 'F -4 2 3'
loop_
_atom_site_label
_atom_site_type_symbol
_atom_site_fract_x
_atom_site_fract_y
_atom_site_fract_z
Er1 Er 0.0000 0.0000 0.0000
Hg1 Hg 0.2500 0.2500 0.7500
Bi1 Bi 0.0000 0.0000 0.5000
Pd1 Pd 0.2500 0.2500 0.2500



# ErScHgBi (GGA-PBE, optimized geometry)
# M_tot = 0.1 μB/f.u.
# N(E_F) = 21.5 states/eV per cell
# Electronic total energy = -66.82 eV/cell
# Crystal system = cubic
data_ErScHgBi
_chemical_formula_sum 'Er4 Sc4 Hg4 Bi4'
_cell_length_a 7.4150
_cell_length_b 7.4150
_cell_length_c 7.4150
_cell_angle_alpha 90.00
_cell_angle_beta 90.00
_cell_angle_gamma 90.00
_space_group_name_H-M_alt 'F -4 3 m'
_space_group_IT_number 216
_space_group_name_Hall 'F -4 2 3'
loop_
_atom_site_label
_atom_site_type_symbol
_atom_site_fract_x
_atom_site_fract_y
_atom_site_fract_z
Er1 Er 0.0000 0.0000 0.0000
Sc1 Sc 0.0000 0.0000 0.5000
Hg1 Hg 0.2500 0.2500 0.2500
Bi1 Bi 0.2500 0.2500 0.7500



# SmErHgBi (GGA-PBE, optimized geometry)
# M_tot = 0.0 μB/f.u.
# N(E_F) = 17.0 states/eV per cell
# Electronic total energy = -61.83 eV/cell
# Crystal system = cubic
data_SmErHgBi
_chemical_formula_sum 'Sm4 Er4 Hg4 Bi4'
_cell_length_a 7.6412
_cell_length_b 7.6412
_cell_length_c 7.6412
_cell_angle_alpha 90.00
_cell_angle_beta 90.00
_cell_angle_gamma 90.00
_space_group_name_H-M_alt 'F -4 3 m'
_space_group_IT_number 216
_space_group_name_Hall 'F -4 2 3'
loop_
_atom_site_label
_atom_site_type_symbol
_atom_site_fract_x
_atom_site_fract_y
_atom_site_fract_z
Sm1 Sm 0.0000 0.0000 0.0000
Er1 Er 0.0000 0.0000 0.5000
Hg1 Hg 0.2500 0.2500 0.7500
Bi1 Bi 0.2500 0.2500 0.2500



# ErSnHgBi (GGA-PBE, optimized geometry)
# M_tot = 0.0 μB/f.u.
# N(E_F) = 14.2 states/eV per cell
# Electronic total energy = -54.09 eV/cell
# Crystal system = cubic
data_ErSnHgBi
_chemical_formula_sum 'Er4 Sn4 Hg4 Bi4'
_cell_length_a 7.6324
_cell_length_b 7.6324
_cell_length_c 7.6324
_cell_angle_alpha 90.00
_cell_angle_beta 90.00
_cell_angle_gamma 90.00
_space_group_name_H-M_alt 'F -4 3 m'
_space_group_IT_number 216
_space_group_name_Hall 'F -4 2 3'
loop_
_atom_site_label
_atom_site_type_symbol
_atom_site_fract_x
_atom_site_fract_y
_atom_site_fract_z
Er1 Er 0.0000 0.0000 0.0000
Sn1 Sn 0.0000 0.0000 0.5000
Hg1 Hg 0.2500 0.2500 0.2500
Bi1 Bi 0.2500 0.2500 0.7500



# ErThHgBi (GGA-PBE, optimized geometry)
# M_tot = 0.0 μB/f.u.
# N(E_F) = 17.7 states/eV per cell
# Electronic total energy = -70.37 eV/cell
# Crystal system = cubic
data_ErThHgBi
_chemical_formula_sum 'Er4 Th4 Hg4 Bi4'
_cell_length_a 7.6862
_cell_length_b 7.6862
_cell_length_c 7.6862
_cell_angle_alpha 90.00
_cell_angle_beta 90.00
_cell_angle_gamma 90.00
_space_group_name_H-M_alt 'F -4 3 m'
_space_group_IT_number 216
_space_group_name_Hall 'F -4 2 3'
loop_
_atom_site_label
_atom_site_type_symbol
_atom_site_fract_x
_atom_site_fract_y
_atom_site_fract_z
Er1 Er 0.0000 0.0000 0.0000
Th1 Th 0.0000 0.0000 0.5000
Hg1 Hg 0.2500 0.2500 0.2500
Bi1 Bi 0.2500 0.2500 0.7500



| no. | formation energy from the elements (meV/atom) |
| --- | --- |
| 1 | -306 |
| 2 | -379 |
| 3 | -507 |
| 4 | -459 |
| 5 | -407 |
| 6 | -498 |
| 7 | -194 |
| 8 | -357 |